CaLa2MgIr, relaxed, DFT PBE-GGA; energy relative to the lowest polymorph listed for this composition = 6 kJ/mol of formula units; formation energy = -0.32 eV per atom; space-group type = P4/mmm (123)
1.0
5.5614 0.0000 0.0000
0.0000 5.5614 0.0000
0.0000 0.0000 5.7163
Ca La Mg Ir
1 2 1 1
Direct
0.0000 0.0000 0.0000
0.0000 0.5000 0.5000
0.5000 0.0000 0.5000
0.5000 0.5000 0.0000
0.0000 0.0000 0.5000


ZrBe6Pd6, relaxed, DFT PBE-GGA; formation energy = -0.53 eV per atom; space-group type = Immm (71)
1.0
-2.4198 4.0569 4.1033
2.4198 -4.0569 4.1033
2.4198 4.0569 -4.1033
Zr Be Pd
1 6 6
Direct
0.0000 0.0000 0.0000
0.0000 0.0000 0.5000
0.0000 0.5000 0.0000
0.2433 0.5000 0.7433
0.5000 0.0000 0.0000
0.5000 0.5000 0.5000
0.7567 0.5000 0.2567
0.1755 0.6755 0.5000
0.3344 0.0000 0.3344
0.3378 0.3378 0.0000
0.6622 0.6622 0.0000
0.6656 0.0000 0.6656
0.8245 0.3245 0.5000


TaCd2Ni, relaxed, DFT PBE-GGA; energy relative to the lowest polymorph listed for this composition = 130 kJ/mol of formula units; formation energy = 0.37 eV per atom; space-group type = P4/mmm (123)
1.0
3.9567 0.0000 0.0000
0.0000 3.9567 0.0000
0.0000 0.0000 4.4772
Ta Cd Ni
1 2 1
Direct
0.0000 0.0000 0.0000
0.0000 0.5000 0.5000
0.5000 0.0000 0.5000
0.5000 0.5000 0.0000


CsTeN2, relaxed, DFT PBE-GGA; space-group type = P-1 (2); formation energy without anion corrections = -0.36 eV per atom
1.0
5.8430 0.0000 0.0000
0.0076 6.2051 0.0000
2.9083 0.0037 8.9351
Cs Te N
2 2 4
Direct
0.1010 0.2502 0.2969
0.8990 0.7498 0.7031
0.5000 0.0000 0.5000
0.5000 0.5000 0.5000
0.1489 0.7502 0.0118
0.3402 0.7501 0.0116
0.6598 0.2499 0.9884
0.8511 0.2498 0.9882


Be2Tl2Sn, relaxed, DFT PBE-GGA; energy relative to the lowest polymorph listed for this composition = 31 kJ/mol of formula units; formation energy = 0.71 eV per atom; space-group type = P4/mbm (127)
1.0
8.3383 0.0000 0.0000
0.0000 8.3383 0.0000
0.0000 0.0000 3.0967
Be Tl Sn
4 4 2
Direct
0.0968 0.4032 0.0000
0.4032 0.9032 0.0000
0.5968 0.0968 0.0000
0.9032 0.5968 0.0000
0.1852 0.6852 0.5000
0.3148 0.1852 0.5000
0.6852 0.8148 0.5000
0.8148 0.3148 0.5000
0.0000 0.0000 0.5000
0.5000 0.5000 0.5000


CrReHg2, relaxed, DFT PBE-GGA; energy relative to the lowest polymorph listed for this composition = 165 kJ/mol of formula units; formation energy = 0.86 eV per atom; space-group type = P4/mmm (123)
1.0
2.9130 0.0000 0.0000
0.0000 2.9130 0.0000
0.0000 0.0000 8.4580
Cr Re Hg
1 1 2
Direct
0.0000 0.0000 0.0000
0.0000 0.0000 0.5000
0.5000 0.5000 0.2443
0.5000 0.5000 0.7557


TaSiTe, relaxed, DFT PBE-GGA; space-group type = P-6m2 (187); formation energy without anion corrections = 0.42 eV per atom
1.0
4.7777 0.0000 0.0000
-2.3889 4.1376 0.0000
0.0000 0.0000 3.0006
Ta Si Te
1 1 1
Direct
0.0000 0.0000 0.0000
0.3333 0.6667 0.5000
0.6667 0.3333 0.0000


Pm2PuSe4, relaxed, DFT PBE-GGA; energy relative to the lowest polymorph listed for this composition = 0 kJ/mol of formula units; space-group type = Imma (74); formation energy without anion corrections = -1.75 eV per atom
1.0
-4.2000 4.2042 5.8522
4.2000 -4.2042 5.8522
4.2000 4.2042 -5.8522
Pm Pu Se
4 2 8
Direct
0.0000 0.0000 0.0000
0.5000 0.0000 0.0000
0.5000 0.0000 0.5000
0.5000 0.5000 0.5000
0.0000 0.5000 0.5000
0.5000 0.5000 0.0000
0.2461 0.2482 0.5021
0.2461 0.7440 0.9979
0.2552 0.2499 0.0053
0.2554 0.7501 0.5053
0.7446 0.2499 0.4947
0.7448 0.7501 0.9947
0.7539 0.2560 0.0021
0.7539 0.7518 0.4979


Zr2TaV, relaxed, DFT PBE-GGA; energy relative to the lowest polymorph listed for this composition = 0 kJ/mol of formula units; formation energy = 0.20 eV per atom; space-group type = Fm-3m (225)
1.0
0.0000 3.4054 3.4054
3.4054 0.0000 3.4054
3.4054 3.4054 0.0000
Zr Ta V
2 1 1
Direct
0.2500 0.2500 0.2500
0.7500 0.7500 0.7500
0.0000 0.0000 0.0000
0.5000 0.5000 0.5000


LiCeLuCd, relaxed, DFT PBE-GGA; formation energy = 0.00 eV per atom; space-group type = F-43m (216)
1.0
0.0000 3.7275 3.7275
3.7275 0.0000 3.7275
3.7275 3.7275 0.0000
Li Ce Lu Cd
1 1 1 1
Direct
0.0000 0.0000 0.0000
0.7500 0.7500 0.7500
0.2500 0.2500 0.2500
0.5000 0.5000 0.5000


TbTlZnCd, relaxed, DFT PBE-GGA; formation energy = -0.19 eV per atom; space-group type = F-43m (216)
1.0
0.0000 3.5977 3.5977
3.5977 0.0000 3.5977
3.5977 3.5977 0.0000
Tb Tl Zn Cd
1 1 1 1
Direct
0.0000 0.0000 0.0000
0.7500 0.7500 0.7500
0.2500 0.2500 0.2500
0.5000 0.5000 0.5000


BaMg2Tl, relaxed, DFT PBE-GGA; energy relative to the lowest polymorph listed for this composition = 93 kJ/mol of formula units; formation energy = 0.06 eV per atom; space-group type = C2/m (12)
1.0
3.4300 -6.0112 0.0000
3.4300 6.0112 0.0000
-1.6140 0.0000 3.1841
Ba Mg Tl
1 2 1
Direct
0.0000 0.0000 0.0000
0.0000 0.5000 0.5000
0.5000 0.0000 0.5000
0.5000 0.5000 0.0000


IrRhW2, relaxed, DFT PBE-GGA; energy relative to the lowest polymorph listed for this composition = 0 kJ/mol of formula units; formation energy = -0.23 eV per atom; space-group type = I4/mmm (139)
1.0
-1.9589 1.9589 3.9331
1.9589 -1.9589 3.9331
1.9589 1.9589 -3.9331
Ir Rh W
1 1 2
Direct
0.0000 0.0000 0.0000
0.5000 0.5000 0.0000
0.2500 0.7500 0.5000
0.7500 0.2500 0.5000


Sc2AgCl, relaxed, DFT PBE-GGA; energy relative to the lowest polymorph listed for this composition = 88 kJ/mol of formula units; space-group type = Immm (71); formation energy without anion corrections = -0.44 eV per atom
1.0
-1.7949 2.8601 4.1490
1.7949 -2.8601 4.1490
1.7949 2.8601 -4.1490
Sc Ag Cl
2 1 1
Direct
0.2200 0.2200 0.0000
0.7800 0.7800 0.0000
0.5000 0.0000 0.5000
0.0000 0.5000 0.5000


HgGeMo2, relaxed, DFT PBE-GGA; energy relative to the lowest polymorph listed for this composition = 64 kJ/mol of formula units; formation energy = 0.69 eV per atom; space-group type = I-42d (122)
1.0
-3.6549 3.6549 2.7300
3.6549 -3.6549 2.7300
3.6549 3.6549 -2.7300
Hg Ge Mo
2 2 4
Direct
0.0000 0.0000 0.0000
0.7500 0.2500 0.5000
0.2500 0.7500 0.5000
0.5000 0.5000 0.0000
0.1611 0.1250 0.5361
0.3750 0.8389 0.9639
0.5889 0.6250 0.4639
0.8750 0.4111 0.0361


CdAg2Br, relaxed, DFT PBE-GGA; energy relative to the lowest polymorph listed for this composition = 23 kJ/mol of formula units; space-group type = R-3m (166); formation energy without anion corrections = -0.01 eV per atom
1.0
1.7259 0.9965 8.5748
-1.7259 0.9965 8.5748
0.0000 -1.9929 8.5748
Cd Ag Br
1 2 1
Direct
0.0000 0.0000 0.0000
0.2494 0.2494 0.2494
0.7506 0.7506 0.7506
0.5000 0.5000 0.5000


AlCrAu4, relaxed, DFT PBE-GGA; formation energy = 0.22 eV per atom; space-group type = F-43m (216)
1.0
0.0000 3.8693 3.8693
3.8693 0.0000 3.8693
3.8693 3.8693 0.0000
Al Cr Au
1 1 4
Direct
0.0000 0.0000 0.0000
0.2500 0.2500 0.2500
0.1252 0.6249 0.6249
0.6249 0.1252 0.6249
0.6249 0.6249 0.1252
0.6249 0.6249 0.6249


CePm2Ho, relaxed, DFT PBE-GGA; energy relative to the lowest polymorph listed for this composition = 4 kJ/mol of formula units; formation energy = 0.07 eV per atom; space-group type = P4/mmm (123)
1.0
5.0667 0.0000 0.0000
0.0000 5.0667 0.0000
0.0000 0.0000 5.0590
Ce Pm Ho
1 2 1
Direct
0.0000 0.0000 0.0000
0.0000 0.5000 0.5000
0.5000 0.0000 0.5000
0.5000 0.5000 0.0000


CdW3, relaxed, DFT PBE-GGA; energy relative to the lowest polymorph listed for this composition = 101 kJ/mol of formula units; formation energy = 0.58 eV per atom; space-group type = P-6m2 (187)
1.0
2.8139 0.0000 0.0000
-1.4069 2.4369 0.0000
0.0000 0.0000 10.0888
Cd W
1 3
Direct
0.0000 0.0000 0.0000
0.0000 0.0000 0.5000
0.3333 0.6667 0.2592
0.3333 0.6667 0.7408


Cs2ZrSn, relaxed, DFT PBE-GGA; energy relative to the lowest polymorph listed for this composition = 180 kJ/mol of formula units; formation energy = 1.05 eV per atom; space-group type = Fm-3m (225)
1.0
0.0000 4.4201 4.4201
4.4201 0.0000 4.4201
4.4201 4.4201 0.0000
Cs Zr Sn
2 1 1
Direct
0.2500 0.2500 0.2500
0.7500 0.7500 0.7500
0.0000 0.0000 0.0000
0.5000 0.5000 0.5000


Na3SnP3, relaxed, DFT PBE-GGA; formation energy = -0.14 eV per atom; space-group type = C2/m (12)
1.0
4.6476 -5.4535 0.0000
4.6476 5.4535 0.0000
-0.7516 0.0000 7.5506
Na Sn P
6 2 6
Direct
0.1903 0.8097 0.0000
0.2757 0.7243 0.5000
0.3458 0.3458 0.1237
0.6542 0.6542 0.8763
0.7243 0.2757 0.5000
0.8097 0.1903 0.0000
0.1655 0.1655 0.6106
0.8345 0.8345 0.3894
0.0837 0.0837 0.2825
0.2554 0.4784 0.7816
0.4784 0.2554 0.7816
0.5216 0.7446 0.2184
0.7446 0.5216 0.2184
0.9163 0.9163 0.7175


Ca3Dy3CuSe8, relaxed, DFT PBE-GGA; space-group type = C2/m (12); formation energy without anion corrections = -1.65 eV per atom
1.0
7.0826 -4.0888 0.0000
7.0826 4.0888 0.0000
-4.7222 0.0000 6.8006
Ca Dy Cu Se
3 3 1 8
Direct
0.0000 0.0000 0.0000
0.0000 0.5000 0.0000
0.5000 0.0000 0.0000
0.0000 0.5000 0.5000
0.5000 0.0000 0.5000
0.5000 0.5000 0.5000
0.0000 0.0000 0.5000
0.2406 0.2406 0.7318
0.2412 0.7500 0.7329
0.2500 0.7588 0.2671
0.2522 0.2522 0.2564
0.7478 0.7478 0.7436
0.7500 0.2412 0.7329
0.7588 0.2500 0.2671
0.7594 0.7594 0.2682